Density functional theory data (PBE) for a geometry-optimized AcLa2Al structure.

- Energy: -4.3952 eV per atom

Lattice parameters (Å, degrees): 6.6902 6.6902 6.6902 46.77 46.77 46.77
Positions (direct):
Ac1 0.0000 0.0000 0.0000
La1 0.2156 0.2156 0.2156
La2 0.4494 0.4494 0.4494
Al1 0.8040 0.8040 0.8040


Density functional theory data (PBE) for a geometry-optimized AcLa12Al3 structure.

- Energy: -4.7748 eV per atom

Lattice parameters (Å, degrees): 5.0499 5.0499 20.4344 90.00 90.00 90.00
Positions (direct):
Ac1 0.0000 0.0000 0.0000
La1 0.0000 0.5000 0.1387
La2 0.0000 0.5000 0.3796
La3 0.0000 0.5000 0.6204
La4 0.0000 0.5000 0.8613
La5 0.5000 0.0000 0.1387
La6 0.5000 0.0000 0.3796
La7 0.5000 0.0000 0.6204
La8 0.5000 0.0000 0.8613
La9 0.5000 0.5000 0.0000
La10 0.5000 0.5000 0.2618
La11 0.5000 0.5000 0.5000
La12 0.5000 0.5000 0.7382
Al1 0.0000 0.0000 0.2586
Al2 0.0000 0.0000 0.5000
Al3 0.0000 0.0000 0.7414


Density functional theory data (PBE) for a geometry-optimized AcLa2Al structure.

- Energy: -4.4074 eV per atom

Lattice parameters (Å, degrees): 5.7166 5.7166 5.7166 60.00 60.00 60.00
Positions (direct):
Ac1 0.0000 0.0000 0.0000
La1 0.2500 0.2500 0.2500
La2 0.7500 0.7500 0.7500
Al1 0.5000 0.5000 0.5000